First-principles (PBE-GGA) data for an optimized crystal structure of Ce9Sn2Hg, as listed in Alexandria via LeMat-Bulk.

a = 4.783 Å, b = 4.783 Å, c = 14.301 Å
α = 90.00°, β = 90.00°, γ = 90.00°
Atoms (fractional coordinates):
Ce 0.500 0.000 0.500
Ce 0.500 0.000 0.832
Ce 0.500 0.500 0.000
Ce 0.500 0.500 0.670
Ce 0.000 0.500 0.500
Ce 0.000 0.500 0.168
Ce 0.000 0.500 0.832
Ce 0.500 0.000 0.168
Ce 0.500 0.500 0.330
Sn 0.000 0.000 0.333
Sn 0.000 0.000 0.667
Hg 0.000 0.000 0.000

Output
E_form = -351 kJ/mol of formula units
Density = 8.6 g cm⁻³
DOS(E_F) = 36.532 states/eV/f.u.